The following is a DFT calculation (PBE) of a relaxed structure of Ac2ZnTc.

Values from the calculation:
The calculation puts the density of states at the Fermi level at 4.4 states/eV per cell. The calculation puts the formation energy at 3.4 eV/f.u. The space-group type is No. 166. Its volume is 119 Å³ per cell. The crystal system is trigonal.

abc: 3.620 3.620 10.700
angles: 80.26 80.26 60.00
Fractional coordinates of all 4 atoms:
Tc: 0.000 0.000 0.000
Ac: 0.084 0.084 0.747
Ac: 0.916 0.916 0.253
Zn: 0.500 0.500 0.500